Density functional theory data (SCAN) for a crystal of ScCu2W relaxed with PBEsol.

The formation energy from the elements is 352 meV per atom. Its polymorph energy (0 for the lowest one) is 205 meV/atom. As for the volume: 14.535 Å³/atom. For the density of states at the Fermi level, the calculation gives 9.3 states/eV/cell. The size of the total moment is 0.02 μB/cell. The crystal system is tetragonal.

The structure in CIF format:
```
data_ScCu2W
_cell_length_a 3.753
_cell_length_b 3.753
_cell_length_c 8.255
_cell_angle_alpha 90.00
_cell_angle_beta 90.00
_cell_angle_gamma 90.00
_symmetry_space_group_name_H-M 'I -4 m 2'
_symmetry_Int_Tables_number 119
_symmetry_space_group_name_Hall 'I -4 -2'
loop_
_atom_site_label
_atom_site_fract_x
_atom_site_fract_y
_atom_site_fract_z
Sc1 0.000 0.000 0.000
Cu1 0.000 0.000 0.500
Cu2 0.000 0.500 0.750
W1 0.000 0.500 0.250
```